V2IrOs: relaxed, PBE.

The energy relative to the elements comes out at -312 meV per atom.

```
data_V2IrOs
_chemical_formula_sum 'V2 Ir1 Os1'
_cell_length_a 3.9583
_cell_length_b 3.9583
_cell_length_c 3.5612
_cell_angle_alpha 90.00
_cell_angle_beta 90.00
_cell_angle_gamma 90.00
_space_group_name_H-M_alt 'P 4/m m m'
_space_group_IT_number 123
_space_group_name_Hall '-P 4 2'
loop_
_atom_site_label
_atom_site_fract_x
_atom_site_fract_y
_atom_site_fract_z
V1 0.0000 0.5000 0.0000
Ir1 0.0000 0.0000 0.5000
Os1 0.5000 0.5000 0.5000
```

ZnCl2: relaxed, PBE.

Its raw formation energy is -1.020 eV/atom.

```
data_ZnCl2
_chemical_formula_sum 'Zn4 Cl8'
_cell_length_a 5.2937
_cell_length_b 5.2937
_cell_length_c 10.1282
_cell_angle_alpha 90.00
_cell_angle_beta 90.00
_cell_angle_gamma 90.00
_space_group_name_H-M_alt 'I 41/a m d'
_space_group_IT_number 141
loop_
_space_group_symop_operation_xyz
'x,y,z'
'-x,-y,-z'
'-y+1/4,x+3/4,z+1/4'
'y+1/4,-x+3/4,-z+1/4'
'-x+1/2,-y,z+1/2'
'x+1/2,y,-z+1/2'
'y+1/4,-x+1/4,z+3/4'
'-y+1/4,x+1/4,-z+3/4'
'x,-y,-z'
'-x,y,z'
'-y+1/4,-x+1/4,-z+3/4'
'y+1/4,x+1/4,z+3/4'
'-x+1/2,y,-z+1/2'
'x+1/2,-y,z+1/2'
'y+1/4,x+3/4,-z+1/4'
'-y+1/4,-x+3/4,z+1/4'
'x+1/2,y+1/2,z+1/2'
'-x+1/2,-y+1/2,-z+1/2'
'-y+3/4,x+1/4,z+3/4'
'y+3/4,-x+1/4,-z+3/4'
'-x,-y+1/2,z'
'x,y+1/2,-z'
'y+3/4,-x+3/4,z+1/4'
'-y+3/4,x+3/4,-z+1/4'
'x+1/2,-y+1/2,-z+1/2'
'-x+1/2,y+1/2,z+1/2'
'-y+3/4,-x+3/4,-z+1/4'
'y+3/4,x+3/4,z+1/4'
'-x,y+1/2,-z'
'x,-y+1/2,z'
'y+3/4,x+1/4,-z+3/4'
'-y+3/4,-x+1/4,z+3/4'
loop_
_atom_site_label
_atom_site_fract_x
_atom_site_fract_y
_atom_site_fract_z
Zn1 0.0000 0.2500 0.3750
Cl1 0.0000 0.2500 0.1500
```

Sm4MgCd2Ag: relaxed, PBE.

The energy relative to the elements comes out at -257 meV per atom.

```
data_Sm4MgCd2Ag
_chemical_formula_sum 'Sm12 Mg3 Cd6 Ag3'
_cell_length_a 5.3654
_cell_length_b 5.3654
_cell_length_c 26.2885
_cell_angle_alpha 90.00
_cell_angle_beta 90.00
_cell_angle_gamma 120.00
_space_group_name_H-M_alt 'R -3 m'
_space_group_IT_number 166
_space_group_name_Hall '-R 3 2"'
loop_
_atom_site_label
_atom_site_fract_x
_atom_site_fract_y
_atom_site_fract_z
Sm1 0.0000 0.0000 0.1210
Sm2 0.0000 0.0000 0.3720
Mg1 0.0000 0.0000 0.5000
Cd1 0.0000 0.0000 0.2436
Ag1 0.0000 0.0000 0.0000
```

KNdBr4: relaxed, PBE.

Its raw formation energy is -1.820 eV/atom.

```
data_KNdBr4
_chemical_formula_sum 'K2 Nd2 Br8'
_cell_length_a 10.3209
_cell_length_b 10.8505
_cell_length_c 4.5181
_cell_angle_alpha 90.00
_cell_angle_beta 90.00
_cell_angle_gamma 90.00
_space_group_name_H-M_alt 'C m m m'
_space_group_IT_number 65
_space_group_name_Hall '-C 2 2'
loop_
_atom_site_label
_atom_site_fract_x
_atom_site_fract_y
_atom_site_fract_z
K1 0.0000 0.0000 0.0000
Nd1 0.0000 0.5000 0.5000
Br1 0.0000 0.3224 0.0000
Br2 0.2245 0.0000 0.5000
```

Na2ZrGeSe5: relaxed, PBE.

Its raw formation energy is -0.925 eV/atom.

```
data_Na2ZrGeSe5
_chemical_formula_sum 'Na8 Zr4 Ge4 Se20'
_cell_length_a 3.8799
_cell_length_b 18.4761
_cell_length_c 13.3589
_cell_angle_alpha 90.00
_cell_angle_beta 90.00
_cell_angle_gamma 90.00
_space_group_name_H-M_alt 'C m c 21'
_space_group_IT_number 36
_space_group_name_Hall 'C 2c -2'
loop_
_atom_site_label
_atom_site_fract_x
_atom_site_fract_y
_atom_site_fract_z
Na1 0.0000 0.1090 0.0000
Na2 0.0000 0.1168 0.6673
Zr1 0.0000 0.2212 0.3843
Ge1 0.0000 0.4302 0.7563
Se1 0.0000 0.0554 0.3722
Se2 0.0000 0.2940 0.0178
Se3 0.0000 0.3021 0.7340
Se4 0.0000 0.3527 0.3400
Se5 0.0000 0.4943 0.6087
```

PmDy3Er: relaxed, PBE.

The energy relative to the elements comes out at 331 meV per atom.

```
data_PmDy3Er
_chemical_formula_sum 'Pm2 Dy6 Er2'
_cell_length_a 3.6203
_cell_length_b 11.5907
_cell_length_c 8.5076
_cell_angle_alpha 90.00
_cell_angle_beta 102.28
_cell_angle_gamma 90.00
_space_group_name_H-M_alt 'P 1 21/m 1'
_space_group_IT_number 11
_space_group_name_Hall '-P 2yb'
loop_
_atom_site_label
_atom_site_fract_x
_atom_site_fract_y
_atom_site_fract_z
Pm1 0.1926 0.2500 0.3863
Dy1 0.1437 0.7500 0.2870
Dy2 0.3475 0.0011 0.6945
Er1 0.4800 0.7500 0.9591
```

Sr4Nb3AgO12: relaxed, PBE.

Its raw formation energy is -2.507 eV/atom.

```
data_Sr4Nb3AgO12
_chemical_formula_sum 'Sr8 Nb6 Ag2 O24'
_cell_length_a 8.3339
_cell_length_b 8.3339
_cell_length_c 8.3339
_cell_angle_alpha 90.00
_cell_angle_beta 90.00
_cell_angle_gamma 90.00
_space_group_name_H-M_alt 'I m -3 m'
_space_group_IT_number 229
_space_group_name_Hall '-I 4 2 3'
loop_
_atom_site_label
_atom_site_fract_x
_atom_site_fract_y
_atom_site_fract_z
Sr1 0.2500 0.2500 0.2500
Nb1 0.0000 0.0000 0.5000
Ag1 0.0000 0.0000 0.0000
O1 0.0000 0.0000 0.2717
O2 0.0000 0.2500 0.5000
```

GaCuIO2: relaxed, PBE.

Its raw formation energy is -0.379 eV/atom.

```
data_GaCuIO2
_chemical_formula_sum 'Ga1 Cu1 I1 O2'
_cell_length_a 3.7553
_cell_length_b 3.7553
_cell_length_c 6.7227
_cell_angle_alpha 90.00
_cell_angle_beta 90.00
_cell_angle_gamma 90.00
_space_group_name_H-M_alt 'P 4/m m m'
_space_group_IT_number 123
_space_group_name_Hall '-P 4 2'
loop_
_atom_site_label
_atom_site_fract_x
_atom_site_fract_y
_atom_site_fract_z
Ga1 0.0000 0.0000 0.0000
Cu1 0.5000 0.5000 0.5000
I1 0.0000 0.0000 0.5000
O1 0.0000 0.5000 0.0000
```

Number 2 is which compound?
ZnCl2